Computed, not measured: a relaxed structure of Ba2UNiSe6 at the PBE-GGA level of DFT.

Cell lengths 7.290, 7.303, 12.608 Å; angles 90.00, 125.02, 90.00 degrees
Space group P2_1/c (No. 14)
Inequivalent atoms, fractional coordinates:
Ba 0.237 0.045 0.247 [4 per cell]
U 0.500 0.000 0.000 [2 per cell]
Ni 0.000 0.000 0.500 [2 per cell]
Se 0.178 0.224 0.970 [4 per cell]
Se 0.249 0.707 0.972 [4 per cell]
Se 0.299 0.503 0.242 [4 per cell]

Calculated values
ρ = 6.31 g cm⁻³
formation energy (no corrections) = -1.2198 eV per atom
final energy = -5.40 eV/atom



Computed, not measured: a relaxed structure of BaVNiSe2 at the PBE-GGA level of DFT.

Cell lengths 5.101, 5.101, 4.537 Å; angles 90.00, 90.00, 90.00 degrees
Space group P4/mmm (No. 123)
Inequivalent atoms, fractional coordinates:
Ba 0.000 0.000 0.000 [1 per cell]
V 0.500 0.500 0.000 [1 per cell]
Ni 0.500 0.500 0.500 [1 per cell]
Se 0.000 0.500 0.500 [2 per cell]

Calculated values
ρ = 5.70 g cm⁻³
formation energy (no corrections) = -0.3027 eV per atom
final energy = -5.06 eV/atom



Computed, not measured: a relaxed structure of BaV2NiSe at the PBE-GGA level of DFT.

Cell lengths 4.692, 4.692, 5.349 Å; angles 90.00, 90.00, 90.00 degrees
Space group P4/mmm (No. 123)
Inequivalent atoms, fractional coordinates:
Ba 0.000 0.000 0.000 [1 per cell]
V 0.000 0.500 0.500 [2 per cell]
Ni 0.500 0.500 0.500 [1 per cell]
Se 0.500 0.500 0.000 [1 per cell]

Calculated values
ρ = 5.31 g cm⁻³
formation energy (no corrections) = 0.4046 eV per atom
final energy = -5.48 eV/atom



Computed, not measured: a relaxed structure of BaV2NiSe8 at the PBE-GGA level of DFT.

Cell lengths 6.2013, 6.2013, 27.5184 Å; angles 90.00, 90.00, 120.00 degrees
Space group R-3 (No. 148, hexagonal axes)
Inequivalent atoms, fractional coordinates:
Ba 0.0000 0.0000 0.0000 [3 per cell]
V 0.0000 0.0000 0.2432 [6 per cell]
Ni 0.0000 0.0000 0.5000 [3 per cell]
Se 0.0000 0.0000 0.3257 [6 per cell]
Se 0.0091 0.3600 0.2196 [18 per cell]

Calculated values
ρ = 5.05 g cm⁻³
formation energy (no corrections) = -0.5712 eV per atom
final energy = -5.06 eV/atom



Computed, not measured: a relaxed structure of Ba2ZnNiSe at the PBE-GGA level of DFT.

Cell lengths 5.774, 5.774, 4.613 Å; angles 90.00, 90.00, 90.00 degrees
Space group P4/mmm (No. 123)
Inequivalent atoms, fractional coordinates:
Ba 0.000 0.500 0.000 [2 per cell]
Zn 0.000 0.000 0.500 [1 per cell]
Ni 0.000 0.000 0.000 [1 per cell]
Se 0.500 0.500 0.500 [1 per cell]

Calculated values
ρ = 5.16 g cm⁻³
formation energy (no corrections) = -0.6501 eV per atom
final energy = -3.53 eV/atom



Computed, not measured: a relaxed structure of BaZrNiSe4 at the PBE-GGA level of DFT.

Cell lengths 6.745, 5.898, 8.932 Å; angles 90.00, 108.00, 90.00 degrees
Space group P2_1/m (No. 11)
Inequivalent atoms, fractional coordinates:
Ba 0.236 0.250 0.055 [2 per cell]
Zr 0.275 0.250 0.558 [2 per cell]
Ni 0.264 0.750 0.331 [2 per cell]
Se 0.013 0.503 0.698 [4 per cell]
Se 0.434 0.750 0.598 [2 per cell]
Se 0.441 0.750 0.145 [2 per cell]

Calculated values
ρ = 5.93 g cm⁻³
formation energy (no corrections) = -1.1326 eV per atom
final energy = -5.45 eV/atom



Calculated values (Å³/f.u.) of V for the records, taken in order: 274.86, 118.04, 117.77, 305.50, 153.81, 168.98.